Density functional theory data (PBE) for a relaxed Dy4Ho4Mg crystal.

Cell: 10.4731 10.4731 4.9979 Å, 90.00 90.00 90.00°
With the nearest neighbours (Å) after each atom.
Space group I4/mmm (No. 139)
Symmetry-distinct sites (fractional):
Dy 0.0000 0.3333 0.0000 x8  6 Ho 3.49-3.51, 5 Dy 3.49-3.51, 1 Mg 3.49
Ho 0.1668 0.1668 0.5000 x8  6 Dy 3.49-3.51, 4 Ho 3.49-3.51, 2 Mg 3.51
Mg 0.0000 0.0000 0.0000 x2  4 Dy 3.49, 8 Ho 3.51

## Properties
energy above the most stable polymorph in this dataset: 0.000 eV/atom
DFT formation energy: 25 meV/atom
E: -4.2317 eV per atom